Here is BeMoIr2I after structural relaxation from Alexandria. Energies are from GGA-PBE.

The structure in POSCAR format:
```
BeMoIr2I
1.0
4.9067 0.0000 0.0000
0.0000 4.2844 0.0000
0.0000 0.0000 4.9067
Mo I Be Ir
1 1 1 2
direct
0.5000 0.5000 0.5000
0.0000 0.0000 0.0000
0.0000 0.5000 0.0000
0.5000 0.0000 0.0000
0.0000 0.0000 0.5000
```

Computed properties:
N(E_F) = 3.26 states/eV/cell
Calculated volume = 20.63 Å³/atom
Formation energy (no corrections) = 2106.6 meV per atom
SG = P4/mmm, No. 123
Final energy = -23.3 eV per formula unit
Crystal system = tetragonal
M_tot = 3.5 μB per formula unit